A plane-wave DFT calculation with PBEsol was carried out for a geometry-optimized ZrTa2Ir structure.

Energy of formation from the pure elements ... -283 meV/atom

abc: 3.326 4.556 5.373
angles: 115.09 108.03 90.00
Fractional positions:
Zr 0.506 0.506 0.012
Ta 0.993 0.993 0.987
Ir 0.254 0.754 0.508
Ta 0.747 0.247 0.493

A plane-wave DFT calculation with PBEsol was carried out for a geometry-optimized Cs2RbInBr6 structure.

Formation energy (no corrections) ... -1394 meV per atom

abc: 8.242 8.242 8.242
angles: 60.00 60.00 60.00
Fractional positions:
Br 0.772 0.772 0.228
Br 0.228 0.772 0.228
Br 0.772 0.228 0.228
Br 0.772 0.228 0.772
Cs 0.750 0.750 0.750
Br 0.228 0.772 0.772
Br 0.228 0.228 0.772
In 0.000 0.000 0.000
Rb 0.500 0.500 0.500
Cs 0.250 0.250 0.250

| no. | raw total energy (eV for the cell shown) | V (Å³ per atom) |
| --- | --- | --- |
| 1 | -45.15 | 17.33 |
| 2 | -31.06 | 39.59 |